# 1
DFT (GGA-PBE) results for a geometry-optimized MnTlPt6 structure.

symmetry = No. 123
total moment = 0.575 μB/atom
V = 16.2 A^3/atom
DFT formation energy = -1.52 eV per formula unit

Cell lengths 4.0109, 4.0109, 8.0531 Å; angles 90.00, 90.00, 90.00 degrees
Positions (direct):
Mn (0.0000, 0.0000, 0.0000)
Tl (0.0000, 0.0000, 0.5000)
Pt (0.0000, 0.5000, 0.2350)
Pt (0.0000, 0.5000, 0.7650)
Pt (0.5000, 0.0000, 0.2350)
Pt (0.5000, 0.0000, 0.7650)
Pt (0.5000, 0.5000, 0.0000)
Pt (0.5000, 0.5000, 0.5000)

=====

# 2
DFT (GGA-PBE) results for a geometry-optimized PuPa3 structure.

symmetry = No. 139
total moment = 1.080 μB/atom
distance to the lowest polymorph of the same formula = 12 meV/atom
V = 24.5 A^3/atom
DFT formation energy = 0.12 eV per formula unit

Cell lengths 5.5462, 5.5462, 5.5462 Å; angles 129.93, 129.93, 73.52 degrees
Positions (direct):
Pu (0.0000, 0.0000, 0.0000)
Pa (0.2500, 0.7500, 0.5000)
Pa (0.5000, 0.5000, 0.0000)
Pa (0.7500, 0.2500, 0.5000)

=====

# 3
DFT (GGA-PBE) results for a geometry-optimized KCa2Cu structure.

symmetry = No. 123
total moment = 0.000 μB/atom
distance to the lowest polymorph of the same formula = 305 meV/atom
V = 34.5 A^3/atom
DFT formation energy = 1.40 eV per formula unit

Cell lengths 5.2880, 5.2880, 4.9304 Å; angles 90.00, 90.00, 90.00 degrees
Positions (direct):
K (0.0000, 0.0000, 0.0000)
Ca (0.0000, 0.5000, 0.5000)
Ca (0.5000, 0.0000, 0.5000)
Cu (0.5000, 0.5000, 0.0000)

=====

# 4
DFT (GGA-PBE) results for a geometry-optimized MnCdCu2 structure.

symmetry = No. 123
total moment = 0.974 μB/atom
V = 14.9 A^3/atom
DFT formation energy = 0.78 eV per formula unit

Cell lengths 4.3462, 4.3462, 3.1645 Å; angles 90.00, 90.00, 90.00 degrees
Positions (direct):
Mn (0.0000, 0.0000, 0.0000)
Cd (0.5000, 0.5000, 0.0000)
Cu (0.0000, 0.5000, 0.5000)
Cu (0.5000, 0.0000, 0.5000)

=====

# 5
DFT (GGA-PBE) results for a geometry-optimized NdPuTl2 structure.

symmetry = No. 225
total moment = 1.598 μB/atom
distance to the lowest polymorph of the same formula = 37 meV/atom
V = 29.2 A^3/atom
DFT formation energy = -0.61 eV per formula unit

Cell lengths 5.4837, 5.4837, 5.4837 Å; angles 60.00, 60.00, 60.00 degrees
Positions (direct):
Nd (0.0000, 0.0000, 0.0000)
Pu (0.5000, 0.5000, 0.5000)
Tl (0.2500, 0.2500, 0.2500)
Tl (0.7500, 0.7500, 0.7500)

=====

# 6
DFT (GGA-PBE) results for a geometry-optimized PuCuAuO6 structure.

symmetry = No. 163
total moment = 0.192 μB/atom
V = 12.4 A^3/atom
formation energy without anion corrections = -947.9 kJ/mol of formula units

Cell lengths 5.2508, 5.2508, 9.3159 Å; angles 90.00, 90.00, 120.00 degrees
Positions (direct):
Pu (0.3333, 0.6667, 0.2500)
Pu (0.6667, 0.3333, 0.7500)
Cu (0.3333, 0.6667, 0.7500)
Cu (0.6667, 0.3333, 0.2500)
Au (0.0000, 0.0000, 0.0000)
Au (0.0000, 0.0000, 0.5000)
O (0.0000, 0.3414, 0.1320)
O (0.0000, 0.3414, 0.6320)
O (0.0000, 0.6586, 0.3680)
O (0.0000, 0.6586, 0.8680)
O (0.3414, 0.0000, 0.1320)
O (0.3414, 0.0000, 0.6320)
O (0.3414, 0.3414, 0.3680)
O (0.3414, 0.3414, 0.8680)
O (0.6586, 0.0000, 0.3680)
O (0.6586, 0.0000, 0.8680)
O (0.6586, 0.6586, 0.1320)
O (0.6586, 0.6586, 0.6320)

=====

# 7
DFT (GGA-PBE) results for a geometry-optimized CsLi3Mn structure.

symmetry = No. 221
total moment = 0.853 μB/atom
distance to the lowest polymorph of the same formula = 631 meV/atom
V = 30.5 A^3/atom
DFT formation energy = 6.14 eV per formula unit

Cell lengths 5.3436, 5.3436, 5.3436 Å; angles 90.00, 90.00, 90.00 degrees
Positions (direct):
Cs (0.0000, 0.0000, 0.0000)
Li (0.0000, 0.0000, 0.5000)
Li (0.0000, 0.5000, 0.0000)
Li (0.5000, 0.0000, 0.0000)
Mn (0.5000, 0.5000, 0.5000)

=====

# 8
DFT (GGA-PBE) results for a geometry-optimized HfInAg structure.

symmetry = No. 11
total moment = 0.000 μB/atom
V = 20.8 A^3/atom
DFT formation energy = -0.11 eV per formula unit

Cell lengths 4.9666, 3.4539, 7.6239 Å; angles 90.00, 107.52, 90.00 degrees
Positions (direct):
Hf (0.0806, 0.2500, 0.1709)
Hf (0.9194, 0.7500, 0.8291)
In (0.4190, 0.2500, 0.8266)
In (0.5810, 0.7500, 0.1734)
Ag (0.2516, 0.7500, 0.5077)
Ag (0.7484, 0.2500, 0.4923)

=====

- Which value of V does entry 5 give?
  29.2 A^3/atom